No. 1
The following is a DFT calculation (PBE-GGA) of an optimized crystal structure of V2PS.

Properties
V = 159.01 Å³ per cell
Density of states at the Fermi level = 8.75 states/eV/cell
DFT total energy = -58.26 eV/cell
SG = No. 122

abc: 5.427 5.427 6.624
angles: 65.82 65.82 90.00
Each line ends with the local moment (μB).
Fractional coordinates of all 8 atoms:
S: 0.000 0.000 0.000  -0.12
S: 0.750 0.250 0.500  -0.12
P: 0.500 0.500 0.000  -0.14
P: 0.250 0.750 0.500  -0.14
V: 0.123 0.625 0.250  2.05
V: 0.627 0.125 0.250  2.05
V: 0.375 0.373 0.750  2.05
V: 0.875 0.877 0.750  2.05

---

No. 2
The following is a DFT calculation (PBE-GGA) of an optimized crystal structure of VBiW3.

Properties
V = 101.46 Å³ per cell
Density of states at the Fermi level = 6.72 states/eV/cell
DFT total energy = -43.73 eV/cell
Calculated formation energy = 156.9 kJ/mol of atoms
SG = No. 221

abc: 4.664 4.664 4.664
angles: 90.00 90.00 90.00
Fractional coordinates of all 5 atoms:
Bi: 0.500 0.500 0.500
V: 0.000 0.000 0.000
W: 0.000 0.000 0.500
W: 0.500 0.000 0.000
W: 0.000 0.500 0.000

---

No. 3
The following is a DFT calculation (PBE-GGA) of an optimized crystal structure of ZrHgRu2.

Properties
V = 71.93 Å³ per cell
Density of states at the Fermi level = 2.38 states/eV/cell
DFT total energy = -26.98 eV/cell
Calculated formation energy = 10.2 kJ/mol of atoms
SG = No. 99

abc: 3.497 3.497 5.881
angles: 90.00 90.00 90.00
Each line ends with the local moment (μB).
Fractional coordinates of all 4 atoms:
Zr: 0.000 0.000 0.465  -0.06
Ru: 0.500 0.500 0.235  0.53
Ru: 0.000 0.000 0.038  0.68
Hg: 0.500 0.500 0.762  0.00

---

No. 4
The following is a DFT calculation (PBE-GGA) of an optimized crystal structure of SrAsOs2.

Properties
V = 78.14 Å³ per cell
Density of states at the Fermi level = 3.60 states/eV/cell
DFT total energy = -27.48 eV/cell
Calculated formation energy = 31.6 kJ/mol of atoms
SG = No. 25

abc: 2.939 3.732 7.125
angles: 90.00 90.00 90.00
Fractional coordinates of all 4 atoms:
As: 0.500 0.500 0.813
Os: 0.000 0.000 0.016
Os: 0.500 0.500 0.173
Sr: 0.000 0.000 0.498

---

No. 5
The following is a DFT calculation (PBE-GGA) of an optimized crystal structure of YTe2Ru.

Properties
V = 94.50 Å³ per cell
Density of states at the Fermi level = 3.20 states/eV/cell
DFT total energy = -21.76 eV/cell
SG = No. 216

abc: 5.113 5.113 5.113
angles: 60.00 60.00 60.00
Each line ends with the local moment (μB).
Fractional coordinates of all 4 atoms:
Te: 0.000 0.000 0.000  0.09
Te: 0.250 0.250 0.250  0.03
Y: 0.750 0.750 0.750  -0.01
Ru: 0.500 0.500 0.500  1.00

---

No. 6
The following is a DFT calculation (PBE-GGA) of an optimized crystal structure of Ba2Cd4AgPb3.

Properties
V = 308.23 Å³ per cell
Density of states at the Fermi level = 4.68 states/eV/cell
DFT total energy = -24.29 eV/cell
Calculated formation energy = -27.1 kJ/mol of atoms
SG = No. 115

abc: 4.927 4.927 12.696
angles: 90.00 90.00 90.00
Fractional coordinates of all 10 atoms:
Pb: 0.000 0.500 0.141
Pb: 0.000 0.000 0.500
Pb: 0.500 0.000 0.859
Cd: 0.500 0.000 0.628
Cd: 0.000 0.000 0.000
Cd: 0.000 0.500 0.372
Cd: 0.500 0.500 0.000
Ba: 0.500 0.000 0.250
Ba: 0.000 0.500 0.750
Ag: 0.500 0.500 0.500

---

> Among the records above, which one has the highest V?

Ba2Cd4AgPb3

---

Please write out number 3 again, unchanged.
The following is a DFT calculation (PBE-GGA) of an optimized crystal structure of ZrHgRu2.

Properties
V = 71.93 Å³ per cell
Density of states at the Fermi level = 2.38 states/eV/cell
DFT total energy = -26.98 eV/cell
Calculated formation energy = 10.2 kJ/mol of atoms
SG = No. 99

abc: 3.497 3.497 5.881
angles: 90.00 90.00 90.00
Each line ends with the local moment (μB).
Fractional coordinates of all 4 atoms:
Zr: 0.000 0.000 0.465  -0.06
Ru: 0.500 0.500 0.235  0.53
Ru: 0.000 0.000 0.038  0.68
Hg: 0.500 0.500 0.762  0.00